No. 1
! SrAlAg2 (meta-GGA SCAN, PBEsol geometry); values from VASP
! * ΔH_f (0 K): -0.242 eV per atom
&SYSTEM
  ibrav = 0, nat = 4, ntyp = 3
/
ATOMIC_SPECIES
Sr 87.62 Sr.upf
Al 26.98 Al.upf
Ag 107.87 Ag.upf
ATOMIC_POSITIONS crystal
Sr 0.757 0.515 0.270
Al 0.561 0.123 0.685
Ag 0.951 0.903 0.855
Ag 0.230 0.460 0.690
CELL_PARAMETERS angstrom
4.513 0.000 0.000
-2.256 3.912 -0.022
0.000 -2.553 5.557

=====

No. 2
! MnAlSb (meta-GGA SCAN, PBEsol geometry); values from VASP
! * distance to the lowest polymorph of the same formula: 18.5 kJ/mol of atoms
! * formation energy from raw total energies: 0.344 eV per atom
&SYSTEM
  ibrav = 0, nat = 3, ntyp = 3
/
ATOMIC_SPECIES
Sb 121.76 Sb.upf
Mn 54.94 Mn.upf
Al 26.98 Al.upf
ATOMIC_POSITIONS crystal
Sb 0.250 0.250 0.250
Mn 0.500 0.500 0.500
Al 0.000 0.000 0.000
CELL_PARAMETERS angstrom
4.495 0.000 0.000
2.247 3.893 0.000
2.247 1.298 3.670

=====

No. 3
! LaSeBr (meta-GGA SCAN, PBEsol geometry); values from VASP
! * formation energy from raw total energies: -2.199 eV per atom
&SYSTEM
  ibrav = 0, nat = 3, ntyp = 3
/
ATOMIC_SPECIES
Br 79.90 Br.upf
Se 78.96 Se.upf
La 138.91 La.upf
ATOMIC_POSITIONS crystal
Br 0.500 0.500 0.500
Se 0.000 0.000 0.000
La 0.750 0.750 0.750
CELL_PARAMETERS angstrom
-0.492 -4.952 -0.576
1.469 -2.185 -4.262
4.061 -2.933 -0.041

=====

No. 4
! ZrInRu2Pt (meta-GGA SCAN, PBEsol geometry); values from VASP
! * ΔH_f (0 K): 1.146 eV per atom
&SYSTEM
  ibrav = 0, nat = 5, ntyp = 4
/
ATOMIC_SPECIES
Ru 101.07 Ru.upf
Zr 91.22 Zr.upf
Pt 195.08 Pt.upf
In 114.82 In.upf
ATOMIC_POSITIONS crystal
Ru 0.000 0.500 0.000
Ru 0.500 0.000 0.000
Zr 0.500 0.500 0.500
Pt 0.000 0.000 0.000
In 0.000 0.000 0.500
CELL_PARAMETERS angstrom
-0.926 4.393 -1.412
1.219 -1.156 -4.396
-4.577 -1.265 -0.936

=====

no.,DOS at the Fermi energy (states/eV/cell),ρ (Mg/m³),calculated total energy (eV/atom)
1,1.96,5.607,-23.433
2,2.94,5.267,-20.746
3,0.00,5.562,-29.747
4,6.51,9.346,-39.640